# Ce2HoZnS5, optimized geometry, DFT PBE
data_Ce2HoZnS5
_space_group_name_H-M_alt 'P 1'
_space_group_IT_number 1
_space_group_name_Hall 'P 1'
_cell_length_a 8.688
_cell_length_b 8.688
_cell_length_c 11.894
_cell_angle_alpha 90.00
_cell_angle_beta 90.00
_cell_angle_gamma 154.12
loop_
_atom_site_label
_atom_site_type_symbol
_atom_site_fract_x
_atom_site_fract_y
_atom_site_fract_z
Ce1 Ce 0.115 0.885 0.500
Ce2 Ce 0.130 0.870 0.131
Ce3 Ce 0.870 0.130 0.631
Ce4 Ce 0.885 0.115 0.000
Ho1 Ho 0.202 0.798 0.829
Ho2 Ho 0.798 0.202 0.329
Zn1 Zn 0.451 0.549 0.263
Zn2 Zn 0.549 0.451 0.763
S1 S 0.043 0.957 0.868
S2 S 0.291 0.709 0.488
S3 S 0.315 0.685 0.170
S4 S 0.360 0.640 0.819
S5 S 0.495 0.505 0.586
S6 S 0.505 0.495 0.086
S7 S 0.640 0.360 0.319
S8 S 0.685 0.315 0.670
S9 S 0.709 0.291 0.988
S10 S 0.957 0.043 0.368
# ΔE_f (raw) in eV/atom: -1.729
# Space-group type: Cmc2_1, No. 36